[1]
Computed, not measured: a relaxed structure of LaZr2Cl at the PBE-GGA level of DFT.

Results
Magnetization ... 0.0009 μB per atom
ρ ... 5.49 g/cm3
Uncorrected energy ... -0.4427 Ry per atom

```
data_LaZr2Cl
_space_group_name_H-M_alt 'I 4/m m m'
_space_group_IT_number 139
_space_group_name_Hall '-I 4 2'
_cell_length_a 4.069
_cell_length_b 4.069
_cell_length_c 13.027
_cell_angle_alpha 90.00
_cell_angle_beta 90.00
_cell_angle_gamma 90.00
loop_
_atom_site_label
_atom_site_type_symbol
_atom_site_fract_x
_atom_site_fract_y
_atom_site_fract_z
La1 La 0.000 0.000 0.000
Zr1 Zr 0.000 0.500 0.250
Cl1 Cl 0.000 0.000 0.500
```

***

[2]
Computed, not measured: a relaxed structure of ZrScAl4 at the PBE-GGA level of DFT.

Results
Magnetization ... 0.0000 μB per atom
ρ ... 3.77 g/cm3
Uncorrected energy ... -0.4034 Ry per atom
Energy of formation ... -0.51 eV per atom

```
data_ZrScAl4
_space_group_name_H-M_alt 'F -4 3 m'
_space_group_IT_number 216
_space_group_name_Hall 'F -4 2 3'
_cell_length_a 7.548
_cell_length_b 7.548
_cell_length_c 7.548
_cell_angle_alpha 90.00
_cell_angle_beta 90.00
_cell_angle_gamma 90.00
loop_
_atom_site_label
_atom_site_type_symbol
_atom_site_fract_x
_atom_site_fract_y
_atom_site_fract_z
Zr1 Zr 0.000 0.000 0.000
Sc1 Sc 0.250 0.250 0.250
Al1 Al 0.125 0.125 0.625
```

***

[3]
Computed, not measured: a relaxed structure of LiAlTlGa at the PBE-GGA level of DFT.

Results
Magnetization ... 0.0000 μB per atom
ρ ... 6.44 g/cm3
Uncorrected energy ... -0.2044 Ry per atom
Energy of formation ... -0.02 eV per atom

```
data_LiAlTlGa
_space_group_name_H-M_alt 'F -4 3 m'
_space_group_IT_number 216
_space_group_name_Hall 'F -4 2 3'
_cell_length_a 6.822
_cell_length_b 6.822
_cell_length_c 6.822
_cell_angle_alpha 90.00
_cell_angle_beta 90.00
_cell_angle_gamma 90.00
loop_
_atom_site_label
_atom_site_type_symbol
_atom_site_fract_x
_atom_site_fract_y
_atom_site_fract_z
Li1 Li 0.000 0.000 0.000
Al1 Al 0.000 0.000 0.500
Tl1 Tl 0.250 0.250 0.750
Ga1 Ga 0.250 0.250 0.250
```